1.
Compound: CrAuBr2
Source: the Alexandria database
Functional: PBE
Structure: optimized geometry

The structure belongs to space group P4mm (No. 99); the cell edges are 3.291, 3.291 and 8.613 Å and the angles 90.00°, 90.00° and 90.00°. The inequivalent atoms are Cr at (0.000, 0.000, 0.000), Au at (0.500, 0.500, 0.194), Br at (0.000, 0.000, 0.417) and Br at (0.500, 0.500, 0.820).

The calculation puts the distance to the lowest polymorph of the same formula at 1.36 eV/f.u.

---

2.
Compound: Ce4Nd2N
Source: the Alexandria database
Functional: PBE
Structure: optimized geometry

The structure belongs to space group I4/mmm (No. 139); the cell edges are 4.901, 4.901 and 16.733 Å and the angles 90.00°, 90.00° and 90.00°. The inequivalent atoms are Ce at (0.000, 0.000, 0.140), Ce at (0.000, 0.500, 0.000), Nd at (0.000, 0.000, 0.341) and N at (0.000, 0.000, 0.000).

Its calculated total energy is -43.0 eV per formula unit.

---

3.
Compound: Y3HgC
Source: the Alexandria database
Functional: PBE
Structure: optimized geometry

The structure belongs to space group P2_1/c (No. 14); the cell edges are 8.849, 6.366 and 9.293 Å and the angles 90.00°, 114.90° and 90.00°. The inequivalent atoms are Y at (0.074, 0.072, 0.360), Y at (0.193, 0.579, 0.551), Y at (0.358, 0.117, 0.761), Hg at (0.407, 0.678, 0.911) and C at (0.079, 0.249, 0.609).

The calculation puts the distance to the lowest polymorph of the same formula at 0.42 eV/f.u. The formation energy is -1.72 eV per formula unit.

---

4.
Compound: Ac3La2Hg4
Source: the Alexandria database
Functional: PBE
Structure: optimized geometry

The structure belongs to space group Cmce (No. 64); the cell edges are 8.020, 16.148 and 9.899 Å and the angles 90.00°, 90.00° and 90.00°. The inequivalent atoms are Ac at (0.000, 0.000, 0.000), Ac at (0.250, 0.210, 0.250), La at (0.000, 0.102, 0.562), Hg at (0.000, 0.200, 0.967) and Hg at (0.250, 0.006, 0.250).

The calculation puts the distance to the lowest polymorph of the same formula at 0.81 eV/f.u. The formation energy is -2.65 eV per formula unit.

---

5.
Compound: HoEr4In4
Source: the Alexandria database
Functional: PBE
Structure: optimized geometry

The structure belongs to space group P4_2/nmc (No. 137, origin choice 2); the cell edges are 7.136, 7.136 and 10.541 Å and the angles 90.00°, 90.00° and 90.00°. The inequivalent atoms are Ho at (0.250, 0.750, 0.250), Er at (0.022, 0.250, 0.167) and In at (0.029, 0.250, 0.466).

The formation energy is -1.02 eV per formula unit.

---

6.
Compound: LiInCl
Source: the Alexandria database
Functional: PBE
Structure: optimized geometry

The structure belongs to space group I4mm (No. 107); the cell edges are 3.340, 3.340 and 14.181 Å and the angles 90.00°, 90.00° and 90.00°. The inequivalent atoms are Li at (0.000, 0.000, 0.000), In at (0.000, 0.000, 0.289) and Cl at (0.000, 0.000, 0.522).

The calculation puts the distance to the lowest polymorph of the same formula at 0.00 eV/f.u.

---

7.
Compound: Al2AgMo
Source: the Alexandria database
Functional: PBE
Structure: optimized geometry

The structure belongs to space group F-43m (No. 216); the cell edges are 6.371, 6.371 and 6.371 Å and the angles 90.00°, 90.00° and 90.00°. The inequivalent atoms are Al at (0.000, 0.000, 0.000), Al at (0.250, 0.250, 0.250), Ag at (0.250, 0.250, 0.750) and Mo at (0.000, 0.000, 0.500).

The calculation puts the distance to the lowest polymorph of the same formula at 1.70 eV/f.u. The formation energy is 1.27 eV per formula unit.

---

8.
Compound: NaTaO3
Source: the Alexandria database
Functional: PBE
Structure: optimized geometry

The structure belongs to space group Pm-3m (No. 221); the cell edges are 3.720, 3.720 and 3.720 Å and the angles 90.00°, 90.00° and 90.00°. The inequivalent atoms are Na at (0.000, 0.000, 0.000), Ta at (0.500, 0.500, 0.500) and O at (0.000, 0.000, 0.500).

Its calculated total energy is -27.8 eV per formula unit.

---

9.
Compound: InRu
Source: the Alexandria database
Functional: PBE
Structure: optimized geometry

The structure belongs to space group Fddd (No. 70, origin choice 2); the cell edges are 5.026, 8.225 and 14.492 Å and the angles 90.00°, 90.00° and 90.00°. The inequivalent atoms are In at (0.125, 0.293, 0.125) and Ru at (0.125, 0.125, 0.541).

The formation energy is 0.69 eV per formula unit.

---

10.
Compound: RbLiPt2Br
Source: the Alexandria database
Functional: PBE
Structure: optimized geometry

The structure belongs to space group P4/mmm (No. 123); the cell edges are 5.121, 5.121 and 4.813 Å and the angles 90.00°, 90.00° and 90.00°. The inequivalent atoms are Rb at (0.000, 0.000, 0.000), Li at (0.500, 0.500, 0.000), Pt at (0.000, 0.500, 0.500) and Br at (0.500, 0.500, 0.500).

Its calculated total energy is -15.7 eV per formula unit.

---

11.
Compound: TbThZr2
Source: the Alexandria database
Functional: PBE
Structure: optimized geometry

The structure belongs to space group Fm-3m (No. 225); the cell edges are 7.549, 7.549 and 7.549 Å and the angles 90.00°, 90.00° and 90.00°. The inequivalent atoms are Tb at (0.000, 0.000, 0.000), Th at (0.000, 0.000, 0.500) and Zr at (0.250, 0.250, 0.250).

The calculation puts the distance to the lowest polymorph of the same formula at 0.25 eV/f.u. The formation energy is 0.71 eV per formula unit.

---

12.
Compound: CdMoAs
Source: the Alexandria database
Functional: PBE
Structure: optimized geometry

The structure belongs to space group Fmm2 (No. 42); the cell edges are 3.378, 4.800 and 14.556 Å and the angles 90.00°, 90.00° and 90.00°. The inequivalent atoms are Cd at (0.000, 0.000, 0.000), Mo at (0.000, 0.000, 0.663) and As at (0.000, 0.000, 0.291).

The calculation puts the distance to the lowest polymorph of the same formula at 0.51 eV/f.u. The formation energy is 0.83 eV per formula unit.

---

| no. | calculated volume (Å³ per cell) |
| --- | --- |
| 1 | 93.3 |
| 2 | 402.0 |
| 3 | 474.9 |
| 4 | 1282.0 |
| 5 | 536.7 |
| 6 | 158.2 |
| 7 | 258.6 |
| 8 | 51.5 |
| 9 | 599.1 |
| 10 | 126.2 |
| 11 | 430.2 |
| 12 | 236.0 |